## CaZrAsRh2 (GGA-PBE)

Data for a relaxed CaZrAsRh2 crystal.

```
data_CaZrAsRh2
_cell_length_a 4.734
_cell_length_b 4.734
_cell_length_c 5.880
_cell_angle_alpha 90.00
_cell_angle_beta 90.00
_cell_angle_gamma 90.00
_symmetry_space_group_name_H-M 'P 4/m m m'
_symmetry_Int_Tables_number 123
_symmetry_space_group_name_Hall '-P 4 2'
loop_
_atom_site_label
_atom_site_type_symbol
_atom_site_fract_x
_atom_site_fract_y
_atom_site_fract_z
_atom_site_occupancy
Ca1 Ca 0.000 0.000 0.000 1
Zr1 Zr 0.000 0.000 0.500 1
As1 As 0.500 0.500 0.000 1
Rh1 Rh 0.000 0.500 0.500 1
```

Output
- DOS(E_F): 4.71 states/eV per cell
- Energy of formation: 0.72 eV per atom
- M_tot: 0.000 μB/atom
- Calculated volume: 26.35 Å³/atom
- Raw total energy: -5.26 eV/atom